# 1
VASP calculation (PBE) on SmPaSi after structural relaxation.

a b c (Å): 6.845 6.845 6.845
angles (deg): 90.00 90.00 90.00
Fractional coordinates of all 12 atoms:
Sm: 0.000 0.000 0.000
Sm: 0.000 0.500 0.500
Sm: 0.500 0.000 0.500
Sm: 0.500 0.500 0.000
Pa: 0.000 0.000 0.500
Pa: 0.000 0.500 0.000
Pa: 0.500 0.000 0.000
Pa: 0.500 0.500 0.500
Si: 0.250 0.250 0.750
Si: 0.250 0.750 0.250
Si: 0.750 0.250 0.250
Si: 0.750 0.750 0.750

Space group ... F-43m, No. 216
Energy relative to the lowest polymorph listed for this composition ... 0.0 meV/atom

---

# 2
VASP calculation (PBE) on TbY3P4 after structural relaxation.

a b c (Å): 8.029 11.355 4.016
angles (deg): 90.00 90.00 90.00
Fractional coordinates of all 16 atoms:
Tb: 0.000 0.000 0.000
Tb: 0.500 0.500 0.000
Y: 0.000 0.500 0.000
Y: 0.250 0.250 0.500
Y: 0.250 0.750 0.500
Y: 0.500 0.000 0.000
Y: 0.750 0.250 0.500
Y: 0.750 0.750 0.500
P: 0.000 0.250 0.000
P: 0.000 0.750 0.000
P: 0.250 0.000 0.500
P: 0.250 0.500 0.500
P: 0.500 0.250 0.000
P: 0.500 0.750 0.000
P: 0.750 0.000 0.500
P: 0.750 0.500 0.500

Space group ... Cmmm, No. 65

---

# 3
VASP calculation (PBE) on Y10Cd3Ni after structural relaxation.

a b c (Å): 9.657 9.657 9.716
angles (deg): 90.00 90.00 120.00
Fractional coordinates of all 28 atoms:
Y: 0.000 0.000 0.000
Y: 0.000 0.000 0.500
Y: 0.088 0.544 0.250
Y: 0.210 0.421 0.563
Y: 0.210 0.421 0.937
Y: 0.210 0.790 0.563
Y: 0.210 0.790 0.937
Y: 0.421 0.210 0.063
Y: 0.421 0.210 0.437
Y: 0.456 0.544 0.250
Y: 0.456 0.912 0.250
Y: 0.544 0.088 0.750
Y: 0.544 0.456 0.750
Y: 0.579 0.790 0.563
Y: 0.579 0.790 0.937
Y: 0.790 0.210 0.063
Y: 0.790 0.210 0.437
Y: 0.790 0.579 0.063
Y: 0.790 0.579 0.437
Y: 0.912 0.456 0.750
Cd: 0.115 0.231 0.250
Cd: 0.115 0.885 0.250
Cd: 0.231 0.115 0.750
Cd: 0.769 0.885 0.250
Cd: 0.885 0.115 0.750
Cd: 0.885 0.769 0.750
Ni: 0.333 0.667 0.750
Ni: 0.667 0.333 0.250

Energy of formation ... -5.90 kcal/mol of atoms
Space group ... P6_3/mmc, No. 194

---

# 4
VASP calculation (PBE) on LaNd2Cd3Ga2Au after structural relaxation.

a b c (Å): 4.477 7.568 7.568
angles (deg): 120.04 90.00 90.00
Fractional coordinates of all 9 atoms:
La: 0.000 0.000 0.000
Nd: 0.000 0.412 0.824
Nd: 0.000 0.824 0.412
Cd: 0.500 0.161 0.414
Cd: 0.500 0.414 0.161
Cd: 0.500 0.662 0.662
Ga: 0.500 0.080 0.743
Ga: 0.500 0.743 0.080
Au: 0.000 0.414 0.414

Space group ... Amm2, No. 38

---

# 5
VASP calculation (PBE) on Y2CdIn after structural relaxation.

a b c (Å): 4.997 4.997 10.669
angles (deg): 90.00 90.00 120.00
Fractional coordinates of all 8 atoms:
Y: 0.333 0.667 0.094
Y: 0.333 0.667 0.406
Y: 0.667 0.333 0.594
Y: 0.667 0.333 0.906
Cd: 0.000 0.000 0.250
Cd: 0.000 0.000 0.750
In: 0.333 0.667 0.750
In: 0.667 0.333 0.250

Space group ... P6_3/mmc, No. 194

---

# 6
VASP calculation (PBE) on ErMgCuTe3 after structural relaxation.

a b c (Å): 8.207 4.105 9.877
angles (deg): 90.00 101.42 90.00
Fractional coordinates of all 12 atoms:
Er: 0.178 0.250 0.175
Er: 0.822 0.750 0.825
Mg: 0.302 0.750 0.714
Mg: 0.698 0.250 0.286
Cu: 0.425 0.750 0.424
Cu: 0.575 0.250 0.576
Te: 0.100 0.250 0.850
Te: 0.237 0.250 0.486
Te: 0.441 0.750 0.157
Te: 0.559 0.250 0.843
Te: 0.763 0.750 0.514
Te: 0.900 0.750 0.150

Space group ... P2_1/m, No. 11
Energy relative to the lowest polymorph listed for this composition ... 0.0 meV/atom

---

# 7
VASP calculation (PBE) on NdSmAs2Pd2 after structural relaxation.

a b c (Å): 4.372 4.372 7.745
angles (deg): 90.00 90.00 120.00
Fractional coordinates of all 6 atoms:
Nd: 0.000 0.000 0.000
Sm: 0.000 0.000 0.500
As: 0.333 0.667 0.755
As: 0.667 0.333 0.263
Pd: 0.333 0.667 0.247
Pd: 0.667 0.333 0.737

Space group ... P3m1, No. 156

---

# 8
VASP calculation (PBE) on Tm4AlCdC2 after structural relaxation.

a b c (Å): 3.517 3.517 15.924
angles (deg): 90.00 90.00 120.00
Fractional coordinates of all 8 atoms:
Tm: 0.000 0.000 0.159
Tm: 0.000 0.000 0.841
Tm: 0.333 0.667 0.326
Tm: 0.333 0.667 0.674
Al: 0.333 0.667 0.000
Cd: 0.000 0.000 0.500
C: 0.667 0.333 0.246
C: 0.667 0.333 0.754

Space group ... P-6m2, No. 187

---

Number 1: volume 26.7 Å³/atom, DFT total energy -6.5557 eV/atom. Number 2: volume 22.9 Å³/atom, DFT total energy -7.3323 eV/atom. Number 3: volume 28.0 Å³/atom, DFT total energy -5.4633 eV/atom. Number 4: volume 24.7 Å³/atom, DFT total energy -3.5144 eV/atom. Number 5: volume 28.8 Å³/atom, DFT total energy -4.2810 eV/atom. Number 6: volume 27.2 Å³/atom, DFT total energy -4.0120 eV/atom. Number 7: volume 21.4 Å³/atom, DFT total energy -6.0407 eV/atom. Number 8: volume 21.3 Å³/atom, DFT total energy -5.4444 eV/atom.